! Y2Tm5Cd, relaxed, DFT PBE; values from VASP
! DOS(E_F) in states/eV/atom: 1.29
! ΔH_f (0 K) in eV/f.u.: -0.09
! Total magnetic moment in Bohr magnetons per cell: 0.00
! E_tot in eV per atom: -4.54
&SYSTEM
  ibrav = 0, nat = 8, ntyp = 3
/
ATOMIC_SPECIES
Y 88.91 Y.upf
Tm 168.93 Tm.upf
Cd 112.41 Cd.upf
CELL_PARAMETERS angstrom
-3.4531 3.4531 4.9398
3.4531 -3.4531 4.9398
3.4531 3.4531 -4.9398
ATOMIC_POSITIONS crystal
Y 0.0000 0.5000 0.5000
Y 0.5000 0.0000 0.5000
Tm 0.0000 0.0000 0.0000
Tm 0.0000 0.0000 0.5000
Tm 0.0000 0.5000 0.0000
Tm 0.5000 0.0000 0.0000
Tm 0.5000 0.5000 0.5000
Cd 0.5000 0.5000 0.0000

---

! LiPt2Br, relaxed, DFT PBE; values from VASP
! DOS(E_F) in states/eV/atom: 0.67
! Total magnetic moment in Bohr magnetons per cell: 0.00
! E_tot in eV per atom: -3.74
! Offset from the most stable computed form in eV/atom: 0.404
! Formation energy (no corrections) in eV per atom: 0.17
&SYSTEM
  ibrav = 0, nat = 4, ntyp = 3
/
ATOMIC_SPECIES
Li 6.94 Li.upf
Pt 195.08 Pt.upf
Br 79.90 Br.upf
CELL_PARAMETERS angstrom
2.9877 0.0000 0.0000
0.0000 2.9877 0.0000
0.0000 0.0000 7.1804
ATOMIC_POSITIONS crystal
Li 0.0000 0.0000 0.0000
Pt 0.5000 0.5000 0.1988
Pt 0.5000 0.5000 0.8012
Br 0.0000 0.0000 0.5000